Record 1
PrIr | PBE | optimized geometry

## Properties
The value obtained for the total energy is -7.108 eV/atom. The formation energy from the elements is -0.29 eV per atom.

Cell: 5.873 5.873 5.873 Å, 90.00 90.00 90.00°
Space group Fm-3m (No. 225)
Unique sites:
1 Pr 0.000 0.000 0.000 [4 per cell]
2 Ir 0.000 0.000 0.500 [4 per cell]

=====

Record 2
Pr2Ir | PBE | optimized geometry

## Properties
The value obtained for the total energy is -5.285 eV/atom. The formation energy from the elements is 0.85 eV per atom.

Cell: 8.516 8.516 8.516 Å, 90.00 90.00 90.00°
Space group Fd-3m (No. 227, origin choice 2)
Unique sites:
1 Pr 0.000 0.000 0.000 [16 per cell]
2 Ir 0.125 0.125 0.625 [8 per cell]

=====

Record 3
PrIr | PBE | optimized geometry

## Properties
The value obtained for the total energy is -7.398 eV/atom. The formation energy from the elements is -0.58 eV per atom.

Cell: 4.5030 4.5030 5.6845 Å, 90.00 90.00 120.00°
Space group P6_3/mmc (No. 194)
Unique sites:
1 Pr 0.3333 0.6667 0.2500 [2 per cell]
2 Ir 0.0000 0.0000 0.0000 [2 per cell]

=====

- Number 3 is which compound?
  PrIr